[1]
NpCrAgO6 | PBE with a Hubbard U | relaxed

Unit cell a=5.344 b=5.344 c=9.645 alpha=90.00 beta=90.00 gamma=120.00
Fractional coordinates of all 18 atoms:
Np (0.333, 0.667, 0.250)
Np (0.667, 0.333, 0.750)
Cr (0.333, 0.667, 0.750)
Cr (0.667, 0.333, 0.250)
Ag (0.000, 0.000, 0.000)
Ag (0.000, 0.000, 0.500)
O (0.005, 0.366, 0.640)
O (0.005, 0.638, 0.860)
O (0.362, 0.366, 0.860)
O (0.362, 0.995, 0.640)
O (0.366, 0.005, 0.140)
O (0.366, 0.362, 0.360)
O (0.634, 0.638, 0.640)
O (0.634, 0.995, 0.860)
O (0.638, 0.005, 0.360)
O (0.638, 0.634, 0.140)
O (0.995, 0.362, 0.140)
O (0.995, 0.634, 0.360)

As for the crystal system: trigonal. As for the space-group type: No. 163. The electronic total energy is -7.654 eV/atom.



[2]
NpCr2AgO8 | PBE with a Hubbard U | relaxed

Unit cell a=4.768 b=6.239 c=4.872 alpha=90.00 beta=90.73 gamma=90.00
Fractional coordinates of all 12 atoms:
Np (0.000, 0.000, 0.000)
Cr (0.500, 0.257, 0.500)
Cr (0.500, 0.743, 0.500)
Ag (0.000, 0.500, 0.000)
O (0.229, 0.225, 0.805)
O (0.229, 0.775, 0.805)
O (0.294, 0.000, 0.320)
O (0.298, 0.500, 0.349)
O (0.702, 0.500, 0.651)
O (0.706, 0.000, 0.680)
O (0.771, 0.225, 0.195)
O (0.771, 0.775, 0.195)

As for the crystal system: monoclinic. As for the space-group type: No. 10. The electronic total energy is -7.513 eV/atom.